(1)
An optimized crystal structure of Li3Hf3ZrSe8. Source: Alexandria via LeMat-Bulk, functional PBE.

a = 12.9499 Å, b = 7.4847 Å, c = 7.8994 Å
α = 90.00°, β = 123.01°, γ = 90.00°
With the nearest neighbours (Å) after each atom.
Space group C2/m (No. 12)
Inequivalent atoms, fractional coordinates:
Li  0.0000  0.0000  0.0000 x2  6 Se 2.73-2.74
Li  0.2500  0.2500  0.0000 x4  6 Se 2.73-2.75
Hf  0.0000  0.5000  0.5000 x2  6 Se 2.70-2.71
Hf  0.2500  0.2500  0.5000 x4  6 Se 2.70-2.71
Zr  0.0000  0.0000  0.5000 x2  6 Se 2.74
Se  0.0022  0.2542  0.2521 x8  2 Hf 2.70, 1 Zr 2.74, 2 Li 2.74-2.75
Se  0.2479  0.5000  0.2521 x4  2 Hf 2.70, 1 Zr 2.74, 2 Li 2.74
Se  0.2493  0.5000  0.7482 x4  3 Hf 2.71, 3 Li 2.73

Properties
Crystal system: monoclinic
ΔE_f (raw) (eV per formula unit): -19.7
Calculated volume (Å³ per atom): 21.401

=====

(2)
An optimized crystal structure of Li2HfZr2Se6. Source: Alexandria via LeMat-Bulk, functional PBE.

a = 6.5170 Å, b = 11.2754 Å, c = 6.9772 Å
α = 90.00°, β = 108.22°, γ = 90.00°
With the nearest neighbours (Å) after each atom.
Space group C2/m (No. 12)
Inequivalent atoms, fractional coordinates:
Li  0.0000  0.1683  0.0000 x4  6 Se 2.74-2.75
Hf  0.0000  0.0000  0.5000 x2  6 Se 2.70
Zr  0.0000  0.3333  0.5000 x4  6 Se 2.73-2.74
Se  0.2466  0.0000  0.2522 x4  1 Hf 2.70, 2 Zr 2.73, 2 Li 2.74
Se  0.2483  0.1638  0.7483 x8  1 Hf 2.70, 2 Zr 2.73-2.74, 2 Li 2.74-2.75

Properties
Crystal system: monoclinic
ΔE_f (raw) (eV per formula unit): -14.8
Calculated volume (Å³ per atom): 22.136

=====

(3)
An optimized crystal structure of Li2Hf2ZrSe6. Source: Alexandria via LeMat-Bulk, functional PBE.

a = 6.4892 Å, b = 11.2601 Å, c = 6.9646 Å
α = 90.00°, β = 108.05°, γ = 90.00°
With the nearest neighbours (Å) after each atom.
Space group C2/m (No. 12)
Inequivalent atoms, fractional coordinates:
Li  0.0000  0.1650  0.0000 x4  6 Se 2.73-2.75
Hf  0.0000  0.3332  0.5000 x4  6 Se 2.70-2.71
Zr  0.0000  0.0000  0.5000 x2  6 Se 2.73-2.75
Se  0.2423  0.5000  0.7470 x4  2 Hf 2.70, 2 Li 2.74, 1 Zr 2.75
Se  0.2486  0.3315  0.2531 x8  2 Hf 2.70-2.71, 2 Li 2.73-2.75, 1 Zr 2.73

Properties
Crystal system: monoclinic
ΔE_f (raw) (eV per formula unit): -14.6
Calculated volume (Å³ per atom): 21.994

=====

(4)
An optimized crystal structure of Li4HfZr3Se8. Source: Alexandria via LeMat-Bulk, functional PBE.

a = 7.5093 Å, b = 7.5093 Å, c = 19.9638 Å
α = 90.00°, β = 90.00°, γ = 120.00°
With the nearest neighbours (Å) after each atom.
Space group R-3m (No. 166, hexagonal axes)
Inequivalent atoms, fractional coordinates:
Li  0.0000  0.0000  0.0000 x3  6 Se 2.75
Li  0.0000  0.5000  0.0000 x9  6 Se 2.72
Hf  0.0000  0.0000  0.5000 x3  6 Se 2.72
Zr  0.0000  0.5000  0.5000 x9  6 Se 2.75
Se  0.0000  0.0000  0.2513 x6  3 Li 2.72, 3 Zr 2.75
Se  0.0040  0.5020  0.2503 x18  1 Hf 2.72, 3 Li 2.72-2.75, 2 Zr 2.75

Properties
Crystal system: trigonal
ΔE_f (raw) (eV per formula unit): -21.1
Calculated volume (Å³ per atom): 20.311

=====

(5)
An optimized crystal structure of LiHfSi2. Source: Alexandria via LeMat-Bulk, functional PBE.

a = 3.9853 Å, b = 3.9853 Å, c = 3.8584 Å
α = 90.00°, β = 90.00°, γ = 90.00°
With the nearest neighbours (Å) after each atom.
Space group P4/mmm (No. 123)
Inequivalent atoms, fractional coordinates:
Li  0.0000  0.0000  0.0000 x1  8 Si 2.77, 4 Hf 2.82
Hf  0.5000  0.5000  0.0000 x1  8 Si 2.77, 4 Li 2.82
Si  0.0000  0.5000  0.5000 x2  4 Hf 2.77, 4 Li 2.77, 4 Si 2.82

Properties
Crystal system: tetragonal
ΔE_f (raw) (eV per formula unit): -1.3
Energy above the most stable polymorph in this dataset (meV per atom): 0.0
Calculated volume (Å³ per atom): 15.321

=====

(6)
An optimized crystal structure of LiHfSi. Source: Alexandria via LeMat-Bulk, functional PBE.

a = 3.7091 Å, b = 3.7091 Å, c = 7.2763 Å
α = 90.00°, β = 90.00°, γ = 90.00°
With the nearest neighbours (Å) after each atom.
Space group P4/nmm (No. 129, origin choice 2)
Inequivalent atoms, fractional coordinates:
Li  0.2500  0.7500  0.0000 x2  4 Li 2.62, 4 Si 2.64
Hf  0.2500  0.2500  0.3681 x2  5 Si 2.72-2.74
Si  0.2500  0.2500  0.7425 x2  4 Li 2.64, 5 Hf 2.72-2.74

Properties
Crystal system: tetragonal
ΔE_f (raw) (eV per formula unit): -1.5
Calculated volume (Å³ per atom): 16.683

=====

(7)
An optimized crystal structure of LiHfSi3. Source: Alexandria via LeMat-Bulk, functional PBE.

a = 5.0628 Å, b = 5.0628 Å, c = 5.0628 Å
α = 90.00°, β = 90.00°, γ = 90.00°
With the nearest neighbours (Å) after each atom.
Space group Pm-3m (No. 221)
Inequivalent atoms, fractional coordinates:
Li  0.0000  0.0000  0.0000 x1  12 Si 3.58
Hf  0.5000  0.5000  0.5000 x1  6 Si 2.53
Si  0.0000  0.5000  0.5000 x3  2 Hf 2.53

Properties
Crystal system: cubic
ΔE_f (raw) (eV per formula unit): 2.7
Energy above the most stable polymorph in this dataset (meV per atom): 0.0
Calculated volume (Å³ per atom): 25.955

=====

(8)
An optimized crystal structure of LiHfSi2. Source: Alexandria via LeMat-Bulk, functional PBE.

a = 6.4119 Å, b = 6.4119 Å, c = 6.4119 Å
α = 90.00°, β = 90.00°, γ = 90.00°
With the nearest neighbours (Å) after each atom.
Space group Fm-3m (No. 225)
Inequivalent atoms, fractional coordinates:
Li  0.0000  0.0000  0.0000 x4  8 Si 2.78
Hf  0.0000  0.0000  0.5000 x4  8 Si 2.78
Si  0.2500  0.2500  0.2500 x8  4 Hf 2.78, 4 Li 2.78

Properties
Crystal system: cubic
ΔE_f (raw) (eV per formula unit): -0.3
Energy above the most stable polymorph in this dataset (meV per atom): 250.5
Calculated volume (Å³ per atom): 16.475

=====

(9)
An optimized crystal structure of Li2HfSi2. Source: Alexandria via LeMat-Bulk, functional PBE.

a = 7.2158 Å, b = 7.2158 Å, c = 2.9573 Å
α = 90.00°, β = 90.00°, γ = 90.00°
With the nearest neighbours (Å) after each atom.
Space group P4/mbm (No. 127)
Inequivalent atoms, fractional coordinates:
Li  0.1671  0.3329  0.0000 x4  6 Si 2.57-2.60
Hf  0.0000  0.0000  0.5000 x2  4 Si 2.84, 2 Hf 2.96, 8 Li 3.07
Si  0.1273  0.6273  0.5000 x4  6 Li 2.57-2.60, 1 Si 2.60, 2 Hf 2.84

Properties
Crystal system: tetragonal
ΔE_f (raw) (eV per formula unit): -0.6
Energy above the most stable polymorph in this dataset (meV per atom): 226.8
Calculated volume (Å³ per atom): 15.398

=====

(10)
An optimized crystal structure of Li2HfSi2. Source: Alexandria via LeMat-Bulk, functional PBE.

a = 3.6830 Å, b = 3.6830 Å, c = 11.4416 Å
α = 90.00°, β = 90.00°, γ = 90.00°
With the nearest neighbours (Å) after each atom.
Space group I4/mmm (No. 139)
Inequivalent atoms, fractional coordinates:
Li  0.0000  0.5000  0.2500 x4  4 Si 2.51, 4 Li 2.60
Hf  0.0000  0.0000  0.0000 x2  8 Si 2.85
Si  0.0000  0.0000  0.3995 x4  1 Si 2.30, 4 Li 2.51

Properties
Crystal system: tetragonal
ΔE_f (raw) (eV per formula unit): -1.7
Energy above the most stable polymorph in this dataset (meV per atom): 0.0
Calculated volume (Å³ per atom): 15.520

=====

(11)
An optimized crystal structure of LiHf3Si. Source: Alexandria via LeMat-Bulk, functional PBE.

a = 4.9502 Å, b = 4.9502 Å, c = 4.9502 Å
α = 90.00°, β = 90.00°, γ = 90.00°
With the nearest neighbours (Å) after each atom.
Space group Pm-3m (No. 221)
Inequivalent atoms, fractional coordinates:
Li  0.0000  0.0000  0.0000 x1  12 Hf 3.50
Hf  0.0000  0.5000  0.5000 x3  2 Si 2.48
Si  0.5000  0.5000  0.5000 x1  6 Hf 2.48

Properties
Crystal system: cubic
ΔE_f (raw) (eV per formula unit): 2.1
Energy above the most stable polymorph in this dataset (meV per atom): 0.0
Calculated volume (Å³ per atom): 24.260

=====

(12)
An optimized crystal structure of LiHfSi3. Source: Alexandria via LeMat-Bulk, functional PBE.

a = 4.3191 Å, b = 4.3191 Å, c = 4.3191 Å
α = 90.00°, β = 90.00°, γ = 90.00°
With the nearest neighbours (Å) after each atom.
Space group Pm-3m (No. 221)
Inequivalent atoms, fractional coordinates:
Li  0.0000  0.0000  0.0000 x1  6 Si 2.16
Hf  0.5000  0.5000  0.5000 x1  12 Si 3.05
Si  0.0000  0.0000  0.5000 x3  2 Li 2.16

Properties
Crystal system: cubic
ΔE_f (raw) (eV per formula unit): 2.9
Energy above the most stable polymorph in this dataset (meV per atom): 38.0
Calculated volume (Å³ per atom): 16.114

=====

Copy entry 7 word for word.
An optimized crystal structure of LiHfSi3. Source: Alexandria via LeMat-Bulk, functional PBE.

a = 5.0628 Å, b = 5.0628 Å, c = 5.0628 Å
α = 90.00°, β = 90.00°, γ = 90.00°
With the nearest neighbours (Å) after each atom.
Space group Pm-3m (No. 221)
Inequivalent atoms, fractional coordinates:
Li  0.0000  0.0000  0.0000 x1  12 Si 3.58
Hf  0.5000  0.5000  0.5000 x1  6 Si 2.53
Si  0.0000  0.5000  0.5000 x3  2 Hf 2.53

Properties
Crystal system: cubic
ΔE_f (raw) (eV per formula unit): 2.7
Energy above the most stable polymorph in this dataset (meV per atom): 0.0
Calculated volume (Å³ per atom): 25.955